VASP calculation (PBE-GGA) on CsKAuCl after structural relaxation.

As for the formation energy without anion corrections: -1.043 eV/atom. For the energy above the most stable polymorph in this dataset, the calculation gives 0.18 eV per formula unit. The calculation puts the magnetic moment at 0.00 Bohr magnetons per cell.

The structure belongs to space group F-43m (No. 216); the cell edges are 8.310, 8.310 and 8.310 Å and the angles 90.00°, 90.00° and 90.00°. The distinct sites, in fractional coordinates, are Cs at (0.000, 0.000, 0.000), K at (0.000, 0.000, 0.500), Au at (0.250, 0.250, 0.750) and Cl at (0.250, 0.250, 0.250).